Entry 1:
The following is a DFT calculation (GGA-PBE) of H2RuBr after structural relaxation.

Cell lengths 5.5024, 5.5024, 5.5024 Å; angles 90.00, 90.00, 90.00 degrees
Sites, in units of the cell vectors:
H 0.2500 0.2500 0.2500
H 0.2500 0.2500 0.7500
H 0.2500 0.7500 0.2500
H 0.2500 0.7500 0.7500
H 0.7500 0.2500 0.2500
H 0.7500 0.2500 0.7500
H 0.7500 0.7500 0.2500
H 0.7500 0.7500 0.7500
Ru 0.0000 0.0000 0.0000
Ru 0.0000 0.5000 0.5000
Ru 0.5000 0.0000 0.5000
Ru 0.5000 0.5000 0.0000
Br 0.0000 0.0000 0.5000
Br 0.0000 0.5000 0.0000
Br 0.5000 0.0000 0.0000
Br 0.5000 0.5000 0.5000

Output
Density = 7.30 Mg/m³
Distance to the lowest polymorph of the same formula = 0.714 eV per atom
Space-group type = No. 225

Entry 2:
The following is a DFT calculation (GGA-PBE) of Tm2AlPt3 after structural relaxation.

Cell lengths 5.5421, 5.5421, 8.2782 Å; angles 90.00, 90.00, 120.00 degrees
Sites, in units of the cell vectors:
Tm 0.3333 0.6667 0.0569
Tm 0.3333 0.6667 0.4431
Tm 0.6667 0.3333 0.5569
Tm 0.6667 0.3333 0.9431
Al 0.0000 0.0000 0.0000
Al 0.0000 0.0000 0.5000
Pt 0.1684 0.3367 0.7500
Pt 0.1684 0.8316 0.7500
Pt 0.3367 0.1684 0.2500
Pt 0.6633 0.8316 0.7500
Pt 0.8316 0.1684 0.2500
Pt 0.8316 0.6633 0.2500

Output
Density = 14.33 Mg/m³
Space-group type = No. 194
Energy relative to the elements = -1.209 eV per atom

Entry 3:
The following is a DFT calculation (GGA-PBE) of Nd2DyEr4Mg after structural relaxation.

Cell lengths 4.9522, 4.9656, 10.1054 Å; angles 90.00, 90.00, 90.00 degrees
Sites, in units of the cell vectors:
Nd 0.0000 0.0000 0.0000
Nd 0.5000 0.5000 0.5000
Dy 0.0000 0.0000 0.5000
Er 0.0000 0.5000 0.2493
Er 0.0000 0.5000 0.7507
Er 0.5000 0.0000 0.2495
Er 0.5000 0.0000 0.7505
Mg 0.5000 0.5000 0.0000

Output
Density = 7.65 Mg/m³
Space-group type = No. 47
Energy relative to the elements = 0.033 eV per atom

Entry 4:
The following is a DFT calculation (GGA-PBE) of CaCoGe2 after structural relaxation.

Cell lengths 4.0088, 4.0088, 16.0890 Å; angles 90.00, 90.00, 120.00 degrees
Sites, in units of the cell vectors:
Ca 0.0000 0.0000 0.0000
Ca 0.3333 0.6667 0.6667
Ca 0.6667 0.3333 0.3333
Co 0.0000 0.0000 0.5000
Co 0.3333 0.6667 0.1667
Co 0.6667 0.3333 0.8333
Ge 0.0000 0.0000 0.2138
Ge 0.0000 0.0000 0.7862
Ge 0.3333 0.6667 0.4529
Ge 0.3333 0.6667 0.8804
Ge 0.6667 0.3333 0.1196
Ge 0.6667 0.3333 0.5471

Output
Density = 5.43 Mg/m³
Space-group type = No. 166
Energy relative to the elements = -0.408 eV per atom

Entry 5:
The following is a DFT calculation (GGA-PBE) of CeGa4Au3 after structural relaxation.

Cell lengths 4.3303, 4.3303, 8.7977 Å; angles 90.00, 90.00, 90.00 degrees
Sites, in units of the cell vectors:
Ce 0.0000 0.0000 0.0000
Ga 0.0000 0.5000 0.3236
Ga 0.0000 0.5000 0.6764
Ga 0.5000 0.0000 0.3236
Ga 0.5000 0.0000 0.6764
Au 0.0000 0.0000 0.5000
Au 0.5000 0.5000 0.1536
Au 0.5000 0.5000 0.8464

Output
Density = 10.17 Mg/m³
Space-group type = No. 123
Energy relative to the elements = -0.440 eV per atom

Entry 6:
The following is a DFT calculation (GGA-PBE) of ZnTcTe after structural relaxation.

Cell lengths 3.2711, 3.2711, 6.4933 Å; angles 90.00, 90.00, 120.00 degrees
Sites, in units of the cell vectors:
Zn 0.0000 0.0000 0.0000
Tc 0.6667 0.3333 0.2916
Te 0.3333 0.6667 0.5718

Output
Density = 8.03 Mg/m³
Distance to the lowest polymorph of the same formula = 0.040 eV per atom
Formation energy from raw total energies = 0.6 eV/f.u.
Space-group type = No. 156

Q: density of number 1 (H2RuBr)?
A: 7.30 Mg/m³

Q: Among the records above, which one has the highest density?
A: Tm2AlPt3

Q: Number 2 is which compound?
A: Tm2AlPt3